Record 1
Entry from Alexandria via LeMat-Bulk: a geometry-optimized AgPt4Cl structure (GGA-PBE).

The structure in POSCAR format:
```
AgPt4Cl
1.0
0.000 3.786 3.786
3.786 0.000 3.786
3.786 3.786 0.000
Ag Pt Cl
1 4 1
Direct
0.000 0.000 0.000 Ag
0.375 0.375 0.375 Pt
0.375 0.375 0.876 Pt
0.375 0.876 0.375 Pt
0.876 0.375 0.375 Pt
0.750 0.750 0.750 Cl
```

Calculated values
Symmetry: F-43m, No. 216
Crystal system: cubic
Formation energy (no corrections): 0.4263 eV per atom

***

Record 2
Entry from Alexandria via LeMat-Bulk: a geometry-optimized Ag2PtCl structure (GGA-PBE).

The structure in POSCAR format:
```
Ag2PtCl
1.0
3.080 0.000 0.000
0.000 3.819 0.000
0.000 0.000 6.256
Ag Pt Cl
2 1 1
Direct
0.000 0.000 0.000 Ag
0.500 0.500 0.258 Ag
0.500 0.500 0.796 Pt
0.000 0.000 0.500 Cl
```

Calculated values
Energy above the lowest structure with this stoichiometry: 176.9 meV per atom
Symmetry: Pmm2, No. 25
Crystal system: orthorhombic
Formation energy (no corrections): 0.2061 eV per atom

***

Record 3
Entry from Alexandria via LeMat-Bulk: a geometry-optimized Ag2PtCl structure (GGA-PBE).

The structure in POSCAR format:
```
Ag2PtCl
1.0
-1.510 2.253 5.966
1.510 -2.253 5.966
1.510 2.253 -5.966
Ag Pt Cl
2 1 1
Direct
0.000 0.000 0.000 Ag
0.644 0.144 0.500 Ag
0.444 0.444 0.000 Pt
0.271 0.771 0.500 Cl
```

Calculated values
Energy above the lowest structure with this stoichiometry: 98.2 meV per atom
Symmetry: Imm2, No. 44
Crystal system: orthorhombic
Formation energy (no corrections): 0.1274 eV per atom

***

Record 4
Entry from Alexandria via LeMat-Bulk: a geometry-optimized Ag2PtCl structure (GGA-PBE).

The structure in POSCAR format:
```
Ag2PtCl
1.0
0.000 3.321 3.321
3.321 0.000 3.321
3.321 3.321 0.000
Ag Pt Cl
2 1 1
Direct
0.250 0.250 0.250 Ag
0.750 0.750 0.750 Ag
0.000 0.000 0.000 Pt
0.500 0.500 0.500 Cl
```

Calculated values
Energy above the lowest structure with this stoichiometry: 308.0 meV per atom
Symmetry: Fm-3m, No. 225
Crystal system: cubic
Formation energy (no corrections): 0.3372 eV per atom

***

Record 5
Entry from Alexandria via LeMat-Bulk: a geometry-optimized Ag3PtCl7 structure (GGA-PBE).

The structure in POSCAR format:
```
Ag3PtCl7
1.0
6.147 -3.880 0.000
6.147 3.880 0.000
-4.061 0.000 6.258
Ag Pt Cl
3 1 7
Direct
0.000 0.000 0.000 Ag
0.311 0.778 0.565 Ag
0.778 0.311 0.565 Ag
0.453 0.453 0.037 Pt
0.092 0.527 0.818 Cl
0.367 0.367 0.251 Cl
0.377 0.819 0.257 Cl
0.527 0.092 0.818 Cl
0.556 0.556 0.844 Cl
0.819 0.377 0.257 Cl
0.948 0.948 0.615 Cl
```

Calculated values
Symmetry: Cm, No. 8
Crystal system: monoclinic
Formation energy (no corrections): -0.4327 eV per atom

***

Record 6
Entry from Alexandria via LeMat-Bulk: a geometry-optimized AgPtCl3 structure (GGA-PBE).

The structure in POSCAR format:
```
AgPtCl3
1.0
4.881 0.000 0.000
0.000 4.881 0.000
0.000 0.000 4.881
Ag Pt Cl
1 1 3
Direct
0.000 0.000 0.000 Ag
0.500 0.500 0.500 Pt
0.000 0.500 0.500 Cl
0.500 0.000 0.500 Cl
0.500 0.500 0.000 Cl
```

Calculated values
Energy above the lowest structure with this stoichiometry: 310.3 meV per atom
Symmetry: Pm-3m, No. 221
Crystal system: cubic
Formation energy (no corrections): -0.0946 eV per atom

***

Record 7
Entry from Alexandria via LeMat-Bulk: a geometry-optimized AgPt2Cl structure (GGA-PBE).

The structure in POSCAR format:
```
AgPt2Cl
1.0
2.898 0.000 0.000
0.000 5.073 0.000
-0.012 0.000 4.705
Ag Pt Cl
1 2 1
Direct
0.000 0.000 0.000 Ag
0.261 0.500 0.250 Pt
0.739 0.500 0.750 Pt
0.500 0.000 0.500 Cl
```

Calculated values
Energy above the lowest structure with this stoichiometry: 212.3 meV per atom
Symmetry: P2/m, No. 10
Crystal system: monoclinic
Formation energy (no corrections): 0.3375 eV per atom

***

Record 8
Entry from Alexandria via LeMat-Bulk: a geometry-optimized Ag2PtCl structure (GGA-PBE).

The structure in POSCAR format:
```
Ag2PtCl
1.0
3.038 0.000 0.000
0.000 4.798 0.000
0.000 0.000 4.959
Ag Pt Cl
2 1 1
Direct
0.000 0.000 0.000 Ag
0.500 0.000 0.500 Ag
0.000 0.500 0.500 Pt
0.500 0.500 0.000 Cl
```

Calculated values
Energy above the lowest structure with this stoichiometry: 307.1 meV per atom
Symmetry: Pmmm, No. 47
Crystal system: orthorhombic
Formation energy (no corrections): 0.3363 eV per atom